ErPu2Hf | GGA-PBE | relaxed

Unit cell a=3.3139 b=3.3139 c=11.0426 alpha=81.37 beta=81.37 gamma=60.00
Closest atoms and distances in Å follow each position.
Fractional positions:
Er1 0.5000 0.5000 0.5000  6 Er 3.31, 6 Pu 3.44
Hf1 0.0000 0.0000 0.0000  6 Pu 3.21, 6 Hf 3.31
Pu1 0.7458 0.7458 0.7627  3 Hf 3.21, 6 Pu 3.31, 3 Er 3.44
Pu2 0.2542 0.2542 0.2373  3 Hf 3.21, 6 Pu 3.31, 3 Er 3.44

Total magnetic moment in μB per atom: 2.871
Energy above the most stable polymorph in this dataset in eV/atom: 0.021
E_form in eV/f.u.: 0.7